First-principles (GGA-PBE) data for an optimized crystal structure of BaNi4Sn4, as listed in Alexandria via LeMat-Bulk.

a b c (Å): 8.815 8.815 5.031
angles (deg): 90.00 90.00 90.00
Positions (direct):
Ba (0.250, 0.250, 0.250)
Ba (0.750, 0.750, 0.750)
Ni (0.075, 0.921, 0.165)
Ni (0.079, 0.575, 0.665)
Ni (0.421, 0.925, 0.665)
Ni (0.425, 0.579, 0.165)
Ni (0.575, 0.421, 0.835)
Ni (0.579, 0.075, 0.335)
Ni (0.921, 0.425, 0.335)
Ni (0.925, 0.079, 0.835)
Sn (0.111, 0.631, 0.167)
Sn (0.131, 0.889, 0.667)
Sn (0.369, 0.611, 0.667)
Sn (0.389, 0.869, 0.167)
Sn (0.611, 0.131, 0.833)
Sn (0.631, 0.389, 0.333)
Sn (0.869, 0.111, 0.333)
Sn (0.889, 0.369, 0.833)

Properties
The value obtained for the energy is -4.81 eV/atom. The density of states at the Fermi level comes out at 3.70 states/eV/f.u. Its mass density is 7.19 g/cm3. As for the space-group type: No. 86.